No. 1
The following is a DFT calculation (PBE-GGA) of a relaxed structure of CoPbAu.

a = 4.4173 Å, b = 4.4173 Å, c = 3.5773 Å
α = 90.00°, β = 90.00°, γ = 120.00°
Space group P3m1 (No. 156)
Asymmetric unit:
Co  0.0000  0.0000  0.0000 [1 per cell]
Pb  0.6667  0.3333  0.4945 [1 per cell]
Au  0.3333  0.6667  0.9923 [1 per cell]

Output
**ρ**: 12.7 g/cm3
**DFT total energy**: -4.278 eV per atom
**Energy above the most stable polymorph in this dataset**: 0.111 eV/atom
**Crystal system**: trigonal
**Formation enthalpy at 0 K**: 0.419 eV per atom
**DOS(E_F)**: 1.103 states/eV/atom

=====

No. 2
The following is a DFT calculation (PBE-GGA) of a relaxed structure of AgBF2.

a = 5.821 Å, b = 5.821 Å, c = 5.821 Å
α = 90.00°, β = 90.00°, γ = 90.00°
Space group Fm-3m (No. 225)
Asymmetric unit:
Ag  0.000  0.000  0.000 [4 per cell]
B  0.000  0.000  0.500 [4 per cell]
F  0.250  0.250  0.250 [8 per cell]

Output
**ρ**: 5.3 g/cm3
**DFT total energy**: -3.318 eV per atom
**Energy above the most stable polymorph in this dataset**: 0.877 eV/atom
**Raw formation energy**: 0 meV/atom
**Crystal system**: cubic
**DOS(E_F)**: 0.000 states/eV/atom

=====

No. 3
The following is a DFT calculation (PBE-GGA) of a relaxed structure of MgZnSi.

a = 3.068 Å, b = 3.814 Å, c = 8.835 Å
α = 90.00°, β = 90.00°, γ = 90.00°
Space group Imm2 (No. 44)
Asymmetric unit:
Mg  0.000  0.000  0.000 [2 per cell]
Zn  0.000  0.000  0.317 [2 per cell]
Si  0.000  0.000  0.678 [2 per cell]

Output
**ρ**: 3.8 g/cm3
**DFT total energy**: -2.640 eV per atom
**Raw formation energy**: 123 meV/atom
**Crystal system**: orthorhombic
**DOS(E_F)**: 0.298 states/eV/atom

=====

No. 4
The following is a DFT calculation (PBE-GGA) of a relaxed structure of Ba2MnNi.

a = 7.630 Å, b = 7.630 Å, c = 7.630 Å
α = 90.00°, β = 90.00°, γ = 90.00°
Space group F-43m (No. 216)
Asymmetric unit:
Ba  0.000  0.000  0.000 [4 per cell]
Ba  0.250  0.250  0.250 [4 per cell]
Mn  0.000  0.000  0.500 [4 per cell]
Ni  0.250  0.250  0.750 [4 per cell]

Output
**ρ**: 5.8 g/cm3
**DFT total energy**: -4.048 eV per atom
**Energy above the most stable polymorph in this dataset**: 0.376 eV/atom
**Crystal system**: cubic
**Formation enthalpy at 0 K**: 0.652 eV per atom
**DOS(E_F)**: 1.343 states/eV/atom

=====

No. 5
The following is a DFT calculation (PBE-GGA) of a relaxed structure of RbMnTl.

a = 4.843 Å, b = 7.145 Å, c = 7.458 Å
α = 66.34°, β = 71.05°, γ = 89.75°
Space group P-1 (No. 2)
Asymmetric unit:
Rb  0.106  0.293  0.290 [2 per cell]
Mn  0.219  0.899  0.062 [2 per cell]
Tl  0.390  0.278  0.720 [2 per cell]

Output
**ρ**: 5.2 g/cm3
**DFT total energy**: -3.740 eV per atom
**Energy above the most stable polymorph in this dataset**: 0.060 eV/atom
**Crystal system**: triclinic
**Formation enthalpy at 0 K**: 0.428 eV per atom
**DOS(E_F)**: 0.415 states/eV/atom

=====

No. 6
The following is a DFT calculation (PBE-GGA) of a relaxed structure of LaTl3S.

a = 6.171 Å, b = 6.171 Å, c = 6.171 Å
α = 90.00°, β = 90.00°, γ = 90.00°
Space group Pm-3m (No. 221)
Asymmetric unit:
La  0.000  0.000  0.000 [1 per cell]
Tl  0.000  0.000  0.500 [3 per cell]
S  0.500  0.500  0.500 [1 per cell]

Output
**ρ**: 5.5 g/cm3
**DFT total energy**: -2.487 eV per atom
**Energy above the most stable polymorph in this dataset**: 0.621 eV/atom
**Raw formation energy**: 744 meV/atom
**Crystal system**: cubic
**DOS(E_F)**: 0.779 states/eV/atom

=====

No. 7
The following is a DFT calculation (PBE-GGA) of a relaxed structure of CuHgF3.

a = 4.511 Å, b = 4.511 Å, c = 4.511 Å
α = 90.00°, β = 90.00°, γ = 90.00°
Space group Pm-3m (No. 221)
Asymmetric unit:
Cu  0.000  0.000  0.000 [1 per cell]
Hg  0.500  0.500  0.500 [1 per cell]
F  0.000  0.500  0.500 [3 per cell]

Output
**ρ**: 5.8 g/cm3
**DFT total energy**: -2.786 eV per atom
**Energy above the most stable polymorph in this dataset**: 0.586 eV/atom
**Raw formation energy**: -784 meV/atom
**Crystal system**: cubic
**DOS(E_F)**: 0.138 states/eV/atom